Entry 1:
4
Lattice="-1.5370 1.9082 -1.4149 -0.8154 -3.7805 -1.3837 -2.9477 0.2552 3.5463" Properties=species:S:1:pos:R:3 comment="AlFe2As | Alexandria | meta-GGA SCAN | single point on PBEsol structure" ef_ev_per_atom=0.0145 sg="No. 12" de_polymorph_kj_per_mol_fu=0.0 pbc="T T T"
Fe -3.7294 -0.2496 0.8858
Fe -1.5707 -1.3676 -0.1382
Al -0.7685 0.9541 -0.7074
As -1.4738 0.1276 1.7731

=====

Entry 2:
3
Lattice="-0.0969 -3.4303 3.3856 1.6512 -4.4180 -0.9970 4.1124 -1.5417 1.9877" Properties=species:S:1:pos:R:3 comment="CaHgAs | Alexandria | meta-GGA SCAN | single point on PBEsol structure" ef_ev_per_atom=-0.5913 sg="No. 216" pbc="T T T"
Hg 2.8333 -4.6950 2.1881
As 1.4167 -2.3475 1.0941
Ca 0.0000 0.0000 0.0000

=====

Entry 3:
52
Lattice="-1.4183 2.0084 -5.3310 -2.2300 -8.8666 -2.7380 -10.5253 1.5967 3.4019" Properties=species:S:1:pos:R:3 comment="NaTi4O8 | Alexandria | meta-GGA SCAN | single point on PBEsol structure" sg="No. 14" de_polymorph_kj_per_mol_fu=0.0 pbc="T T T"
O -8.7118 -1.5080 -0.6631
O -5.8979 1.1497 -3.7051
Ti -2.5879 1.8033 -4.2922
O -9.3103 1.2665 -1.1071
Ti -6.3534 -2.2169 -4.8090
O -5.5941 -5.5046 -6.2790
Ti -3.4104 -5.9670 -2.1392
O -8.2758 -6.4112 -0.9620
Ti -8.5324 -2.0289 -2.5272
O -10.8523 1.3979 1.0024
Ti -10.7633 0.7056 -2.5280
Na -11.1947 -2.9838 -0.4439
O -2.5892 -7.6474 -2.9899
Ti -9.9117 -3.8978 -4.4619
O -10.5300 -1.4542 1.4122
Ti -9.9005 -0.1936 0.1586
O -9.2828 -4.2367 0.0493
Ti -1.8755 0.8096 -1.6322
O -9.9831 -3.2497 -2.5586
Ti -9.1239 -5.0422 -1.8925
O -5.1288 0.1239 -0.9753
Ti -5.0498 -0.2193 -2.7747
O -3.1979 0.4452 -3.0287
Na -2.9790 -2.2776 -4.2233
O -2.5173 -0.4943 -0.3316
O -2.9191 -4.8012 -3.5026
Ti -11.5857 -7.0648 -0.3749
Na -7.7763 1.9967 -2.7141
O -11.2546 -0.4602 -1.1646
O -7.5484 -3.7254 -1.8164
O -5.9107 -2.5607 -0.2085
O -8.2630 -2.7007 -4.4586
O -10.9758 -5.7066 -1.6385
Ti -5.6413 -3.2325 -2.1400
O -4.8104 -4.8093 -1.3422
O -11.6564 -4.7671 -4.3355
O -8.5796 0.2432 1.6119
Ti -12.2982 -6.0710 -3.0350
O -9.3633 -0.4522 -3.3250
Ti -4.2732 -5.0678 -4.8257
Ti -4.2620 -1.3637 -0.2052
O -11.5845 2.3859 -1.6772
O -3.6437 -3.8072 -6.0794
O -3.3214 -6.6593 -5.6695
Ti -7.8203 -3.0445 0.1418
O -4.8634 -6.5279 -3.5600
O -5.4619 -3.7534 -4.0040
O -4.8909 -1.0247 -4.7165
O -4.1906 -2.0117 -2.1086
O -6.6253 -1.5360 -2.8508
O -9.0449 -5.3853 -3.6918
Na -6.3974 -7.2581 -1.9531

=====

Entry 4:
4
Lattice="-2.6252 -0.0618 0.9809 1.5426 -0.5168 4.0962 0.6348 4.8077 -2.0037" Properties=species:S:1:pos:R:3 comment="SiPt2Rh | Alexandria | meta-GGA SCAN | single point on PBEsol structure" sg="No. 44" pbc="T T T"
Rh -0.5335 0.0865 2.5830
Pt -0.4551 3.8757 3.0315
Pt -1.2658 2.2310 0.7582
Si 0.8176 1.9758 2.3125

=====

Number 1: total energy -16.036 eV/atom. Number 2: total energy -33.265 eV/atom. Number 3: total energy -12.241 eV/atom. Number 4: total energy -46.533 eV/atom.